No. 1
DFT (GGA-PBE) results for a geometry-optimized TaGaFeAg structure.

POSCAR file:
```
TaGaFeAg
1.0
0.0000 3.1380 3.1380
3.1380 0.0000 3.1380
3.1380 3.1380 0.0000
Ga Fe Ta Ag
1 1 1 1
direct
0.0000 0.0000 0.0000
0.7500 0.7500 0.7500
0.5000 0.5000 0.5000
0.2500 0.2500 0.2500
```

Summary:
Relative energy among the computed polymorphs   0.00 eV per formula unit
Total moment   0.3178 μB per atom
VASP energy   -6.307 eV/atom

No. 2
DFT (GGA-PBE) results for a geometry-optimized Hf2Zr4S3N3 structure.

POSCAR file:
```
Hf2Zr4S3N3
1.0
-0.9751 4.3498 -3.7574
0.1179 -1.0250 -5.7380
-11.4979 -3.5754 3.3574
N Zr Hf S
6 8 4 6
direct
0.6572 0.1871 0.5000
0.8129 0.3428 0.0000
0.0000 0.5000 0.5000
0.1871 0.6572 0.0000
0.3428 0.8129 0.5000
0.5000 0.0000 0.0000
0.1265 0.3010 0.9008
0.8735 0.6990 0.0992
0.6990 0.8735 0.5992
0.8070 0.9600 0.9008
0.3010 0.1265 0.4008
0.0400 0.1930 0.5992
0.9600 0.8070 0.4008
0.1930 0.0400 0.0992
0.6403 0.4682 0.4026
0.5318 0.3597 0.0974
0.4682 0.6403 0.9026
0.3597 0.5318 0.5974
0.2550 0.4171 0.2518
0.7450 0.5829 0.7482
0.5829 0.7450 0.2482
0.9125 0.0875 0.2500
0.0875 0.9125 0.7500
0.4171 0.2550 0.7518
```

Summary:
Total moment   0.0001 μB per atom
VASP energy   -9.206 eV/atom